{
  "formula": "CsYGe",
  "functional": "GGA-PBE",
  "state": "optimized geometry",
  "lattice_angstrom": [[9.271, 0.000, 0.000], [0.000, 5.253, 0.000], [0.000, 0.000, 8.397]],
  "species": ["Cs", "Cs", "Cs", "Cs", "Y", "Y", "Y", "Y", "Ge", "Ge", "Ge", "Ge"],
  "frac_coords": [[0.002, 0.250, 0.854], [0.498, 0.750, 0.354], [0.998, 0.750, 0.146], [0.502, 0.250, 0.646], [0.858, 0.250, 0.424], [0.642, 0.750, 0.924], [0.142, 0.750, 0.576], [0.358, 0.250, 0.076], [0.172, 0.250, 0.387], [0.328, 0.750, 0.887], [0.828, 0.750, 0.613], [0.672, 0.250, 0.113]],
  "delta_e_f_ev_per_atom": -0.178,
  "de_polymorph_mev_per_atom": 194,
  "crystal_system": "orthorhombic"
}